Entry 1:
First-principles (PBE) data for a geometry-optimized LiTl2SiGe structure, as listed in Alexandria.

a = 5.657 Å, b = 5.657 Å, c = 4.775 Å
α = 90.00°, β = 90.00°, γ = 90.00°
Fractional positions:
Li 0.000 0.000 0.000
Tl 0.000 0.500 0.500
Tl 0.500 0.000 0.500
Si 0.500 0.500 0.000
Ge 0.500 0.500 0.500

The raw total energy comes out at -2.860 eV per atom. Its space group is P4/mmm (123). For the energy relative to the elements, uncorrected, the calculation gives 0.48 eV/atom.



Entry 2:
First-principles (PBE) data for a geometry-optimized LiV2SiGe structure, as listed in Alexandria.

a = 4.234 Å, b = 4.234 Å, c = 4.055 Å
α = 90.00°, β = 90.00°, γ = 90.00°
Fractional positions:
Li 0.000 0.000 0.000
V 0.000 0.500 0.000
V 0.500 0.000 0.000
Si 0.500 0.500 0.500
Ge 0.000 0.000 0.500

The raw total energy comes out at -5.143 eV per atom. Its space group is P4/mmm (123). For the energy relative to the elements, uncorrected, the calculation gives 0.90 eV/atom.



Entry 3:
First-principles (PBE) data for a geometry-optimized LiSmGe2 structure, as listed in Alexandria.

a = 7.819 Å, b = 3.940 Å, c = 10.571 Å
α = 90.00°, β = 90.00°, γ = 90.00°
Fractional positions:
Li 0.014 0.250 0.107
Li 0.486 0.750 0.607
Li 0.514 0.250 0.393
Li 0.986 0.750 0.893
Sm 0.139 0.750 0.364
Sm 0.361 0.250 0.864
Sm 0.639 0.750 0.136
Sm 0.861 0.250 0.636
Ge 0.153 0.750 0.686
Ge 0.226 0.750 0.064
Ge 0.274 0.250 0.564
Ge 0.347 0.250 0.186
Ge 0.653 0.750 0.814
Ge 0.726 0.750 0.436
Ge 0.774 0.250 0.936
Ge 0.847 0.250 0.314

The calculation puts the excess energy over the best structure of this formula in the dataset at 0.000 eV per formula unit. The raw total energy comes out at -4.624 eV per atom. Its space group is Pnma (62). The formation enthalpy at 0 K comes out at -0.657 eV per atom.



Which of these has the highest raw total energy?
LiTl2SiGe